1.
DFT (GGA-PBE) results for an optimized crystal structure of ErInHg.

Summary:
**E_tot**: -2.921 eV/atom
**Mass density**: 10.0 g/cm3
**Size of the total moment**: 0.0 Bohr magnetons per cell

abc: 6.8480 6.8480 6.8480
angles: 90.00 90.00 90.00
Space group F-43m (No. 216)
One atom of each set of equivalent atoms:
1 Er 0.0000 0.0000 0.0000 x4
2 In 0.0000 0.0000 0.5000 x4
3 Hg 0.2500 0.2500 0.7500 x4



2.
DFT (GGA-PBE) results for an optimized crystal structure of ErIn3Hg.

Summary:
**E_tot**: -2.685 eV/atom
**Mass density**: 8.1 g/cm3
**Size of the total moment**: 0.0 Bohr magnetons per cell

abc: 9.5135 10.8766 5.6585
angles: 90.00 90.00 90.00
Space group Cmcm (No. 63)
One atom of each set of equivalent atoms:
1 Er 0.0000 0.2271 0.2500 x4
2 In 0.0000 0.5000 0.0000 x4
3 In 0.1742 0.2985 0.7500 x8
4 Hg 0.0000 0.0568 0.7500 x4



3.
DFT (GGA-PBE) results for an optimized crystal structure of ErIn5Hg4.

Summary:
**E_tot**: -2.028 eV/atom
**Mass density**: 9.6 g/cm3
**Size of the total moment**: 0.0 Bohr magnetons per cell

abc: 16.4869 3.6139 9.8303
angles: 90.00 114.26 90.00
Space group C2/m (No. 12)
One atom of each set of equivalent atoms:
1 Er 0.0000 0.0000 0.0000 x2
2 In 0.0000 0.0000 0.5000 x2
3 In 0.1828 0.5000 0.1279 x4
4 In 0.2035 0.5000 0.5930 x4
5 Hg 0.0525 0.5000 0.2858 x4
6 Hg 0.1308 0.0000 0.8363 x4



4.
DFT (GGA-PBE) results for an optimized crystal structure of ErIn12Hg6.

Summary:
**E_tot**: -2.100 eV/atom
**Mass density**: 8.9 g/cm3
**Size of the total moment**: 0.0 Bohr magnetons per cell
**Distance to the lowest polymorph of the same formula**: 0 meV/atom

abc: 13.6401 13.6401 9.4994
angles: 90.00 90.00 120.00
Space group R-3 (No. 148, hexagonal axes)
One atom of each set of equivalent atoms:
1 Er 0.0000 0.0000 0.0000 x3
2 In 0.0024 0.2415 0.9560 x18
3 In 0.0762 0.8198 0.4433 x18
4 Hg 0.0395 0.8825 0.7386 x18



5.
DFT (GGA-PBE) results for an optimized crystal structure of Er3InHg3.

Summary:
**E_tot**: -2.819 eV/atom
**Mass density**: 11.2 g/cm3
**Size of the total moment**: 0.0 Bohr magnetons per cell
**Distance to the lowest polymorph of the same formula**: 0 meV/atom

abc: 9.0622 9.0622 5.0692
angles: 90.00 90.00 120.00
Space group P6_3/m (No. 176)
One atom of each set of equivalent atoms:
1 Er 0.1024 0.6545 0.2500 x6
2 In 0.3333 0.6667 0.7500 x2
3 Hg 0.0382 0.7978 0.7500 x6



6.
DFT (GGA-PBE) results for an optimized crystal structure of ErIn3Hg4.

Summary:
**E_tot**: -1.889 eV/atom
**Mass density**: 10.9 g/cm3
**Size of the total moment**: 0.0 Bohr magnetons per cell

abc: 5.1495 5.1495 26.1748
angles: 90.00 90.00 120.00
Space group R-3m (No. 166, hexagonal axes)
One atom of each set of equivalent atoms:
1 Er 0.0000 0.0000 0.0000 x3
2 In 0.0000 0.0000 0.2524 x6
3 In 0.0000 0.0000 0.5000 x3
4 Hg 0.0000 0.0000 0.1241 x6
5 Hg 0.0000 0.0000 0.3748 x6



7.
DFT (GGA-PBE) results for an optimized crystal structure of Er2InHg.

Summary:
**E_tot**: -3.504 eV/atom
**Mass density**: 10.5 g/cm3
**Size of the total moment**: 0.0 Bohr magnetons per cell

abc: 3.7117 3.7117 7.4297
angles: 90.00 90.00 90.00
Space group P4/mmm (No. 123)
One atom of each set of equivalent atoms:
1 Er 0.0000 0.0000 0.2438 x2
2 In 0.5000 0.5000 0.5000 x1
3 Hg 0.5000 0.5000 0.0000 x1



8.
DFT (GGA-PBE) results for an optimized crystal structure of Er3In4Hg2.

Summary:
**E_tot**: -3.183 eV/atom
**Mass density**: 10.1 g/cm3
**Size of the total moment**: 0.0 Bohr magnetons per cell
**Distance to the lowest polymorph of the same formula**: 0 meV/atom

abc: 11.1587 4.9145 9.2683
angles: 90.00 118.49 90.00
Space group C2/m (No. 12)
One atom of each set of equivalent atoms:
1 Er 0.0000 0.0000 0.0000 x2
2 Er 0.1691 0.5000 0.6620 x4
3 In 0.0346 0.0000 0.3674 x4
4 In 0.2188 0.5000 0.0558 x4
5 Hg 0.1322 0.5000 0.3013 x4



9.
DFT (GGA-PBE) results for an optimized crystal structure of Er2In3Hg3.

Summary:
**E_tot**: -2.622 eV/atom
**Mass density**: 11.1 g/cm3
**Size of the total moment**: 0.0 Bohr magnetons per cell

abc: 4.5725 4.6016 9.1432
angles: 90.00 90.00 90.00
Space group Pmmm (No. 47)
One atom of each set of equivalent atoms:
1 Er 0.0000 0.0000 0.2480 x2
2 In 0.0000 0.5000 0.5000 x1
3 In 0.5000 0.0000 0.0000 x1
4 In 0.5000 0.0000 0.5000 x1
5 Hg 0.0000 0.5000 0.0000 x1
6 Hg 0.5000 0.5000 0.2533 x2



10.
DFT (GGA-PBE) results for an optimized crystal structure of ErIn2Hg8.

Summary:
**E_tot**: -1.230 eV/atom
**Mass density**: 12.0 g/cm3
**Size of the total moment**: 0.0 Bohr magnetons per cell

abc: 16.6502 4.7641 7.3519
angles: 90.00 108.12 90.00
Space group C2/m (No. 12)
One atom of each set of equivalent atoms:
1 Er 0.0000 0.0000 0.0000 x2
2 In 0.2245 0.5000 0.6451 x4
3 Hg 0.0365 0.5000 0.7332 x4
4 Hg 0.0917 0.0000 0.4498 x4
5 Hg 0.1425 0.5000 0.1763 x4
6 Hg 0.1731 0.0000 0.9019 x4



11.
DFT (GGA-PBE) results for an optimized crystal structure of Er3In2Hg6.

Summary:
**E_tot**: -2.063 eV/atom
**Mass density**: 10.7 g/cm3
**Size of the total moment**: 0.0 Bohr magnetons per cell

abc: 4.4730 4.4730 30.0567
angles: 90.00 90.00 90.00
Space group I4/mmm (No. 139)
One atom of each set of equivalent atoms:
1 Er 0.0000 0.0000 0.0000 x2
2 Er 0.0000 0.0000 0.1547 x4
3 In 0.0000 0.0000 0.3553 x4
4 Hg 0.0000 0.0000 0.2564 x4
5 Hg 0.0000 0.5000 0.0717 x8



12.
DFT (GGA-PBE) results for an optimized crystal structure of ErIn2Hg.

Summary:
**E_tot**: -2.759 eV/atom
**Mass density**: 9.8 g/cm3
**Size of the total moment**: 0.3 Bohr magnetons per cell
**Distance to the lowest polymorph of the same formula**: 188 meV/atom

abc: 3.6640 3.6640 7.5752
angles: 90.00 90.00 90.00
Space group P4/mmm (No. 123)
One atom of each set of equivalent atoms:
1 Er 0.0000 0.0000 0.0000 x1
2 In 0.5000 0.5000 0.2632 x2
3 Hg 0.0000 0.0000 0.5000 x1



13.
DFT (GGA-PBE) results for an optimized crystal structure of Er4InHg3.

Summary:
**E_tot**: -3.173 eV/atom
**Mass density**: 11.0 g/cm3
**Size of the total moment**: 0.0 Bohr magnetons per cell
**Distance to the lowest polymorph of the same formula**: 35 meV/atom

abc: 3.7661 4.7808 11.6001
angles: 90.00 90.00 90.00
Space group Pmm2 (No. 25)
One atom of each set of equivalent atoms:
1 Er 0.0000 0.0000 0.0000 x1
2 Er 0.0000 0.5000 0.2895 x1
3 Er 0.5000 0.0000 0.4901 x1
4 Er 0.5000 0.5000 0.7971 x1
5 In 0.0000 0.0000 0.7247 x1
6 Hg 0.0000 0.5000 0.5572 x1
7 Hg 0.5000 0.0000 0.2291 x1
8 Hg 0.5000 0.5000 0.0588 x1



14.
DFT (GGA-PBE) results for an optimized crystal structure of Er2InHg3.

Summary:
**E_tot**: -2.372 eV/atom
**Mass density**: 11.0 g/cm3
**Size of the total moment**: 0.6 Bohr magnetons per cell
**Distance to the lowest polymorph of the same formula**: 124 meV/atom

abc: 3.5689 3.5826 24.7872
angles: 90.00 90.00 90.00
Space group Imm2 (No. 44)
One atom of each set of equivalent atoms:
1 Er 0.0000 0.0000 0.0000 x2
2 Er 0.0000 0.5000 0.2478 x2
3 In 0.0000 0.0000 0.4184 x2
4 Hg 0.0000 0.0000 0.5758 x2
5 Hg 0.0000 0.5000 0.6713 x2
6 Hg 0.0000 0.5000 0.8234 x2



15.
DFT (GGA-PBE) results for an optimized crystal structure of Er12In5Hg2.

Summary:
**E_tot**: -3.822 eV/atom
**Mass density**: 9.0 g/cm3
**Size of the total moment**: 0.0 Bohr magnetons per cell

abc: 17.1763 7.1268 9.0560
angles: 90.00 97.90 90.00
Space group C2/m (No. 12)
One atom of each set of equivalent atoms:
1 Er 0.0067 0.0000 0.1882 x4
2 Er 0.0439 0.5000 0.6948 x4
3 Er 0.1512 0.2464 0.0097 x8
4 Er 0.1595 0.2588 0.4189 x8
5 In 0.0000 0.5000 0.0000 x2
6 In 0.2005 0.0000 0.7357 x4
7 In 0.2283 0.5000 0.7478 x4
8 Hg 0.0000 0.1891 0.5000 x4



16.
DFT (GGA-PBE) results for an optimized crystal structure of Er4In5Hg2.

Summary:
**E_tot**: -3.350 eV/atom
**Mass density**: 9.8 g/cm3
**Size of the total moment**: 0.0 Bohr magnetons per cell

abc: 7.9126 3.5067 10.1035
angles: 90.00 95.03 90.00
Space group P2/m (No. 10)
One atom of each set of equivalent atoms:
1 Er 0.1772 0.0000 0.3839 x2
2 Er 0.2663 0.0000 0.9401 x2
3 In 0.1808 0.5000 0.6572 x2
4 In 0.4505 0.5000 0.1940 x2
5 In 0.5000 0.5000 0.5000 x1
6 Hg 0.0688 0.5000 0.1384 x2



17.
DFT (GGA-PBE) results for an optimized crystal structure of ErIn6Hg8.

Summary:
**E_tot**: -1.589 eV/atom
**Mass density**: 9.7 g/cm3
**Size of the total moment**: 0.0 Bohr magnetons per cell

abc: 8.8597 8.8597 18.5107
angles: 90.00 90.00 120.00
Space group R-3 (No. 148, hexagonal axes)
One atom of each set of equivalent atoms:
1 Er 0.0000 0.0000 0.0000 x3
2 In 0.0129 0.3050 0.4200 x18
3 Hg 0.0000 0.0000 0.3237 x6
4 Hg 0.0157 0.3725 0.5811 x18



18.
DFT (GGA-PBE) results for an optimized crystal structure of Er2InHg4.

Summary:
**E_tot**: -2.141 eV/atom
**Mass density**: 11.5 g/cm3
**Size of the total moment**: 0.0 Bohr magnetons per cell
**Distance to the lowest polymorph of the same formula**: 0 meV/atom

abc: 5.0822 5.0822 24.1431
angles: 90.00 90.00 120.00
Space group R-3m (No. 166, hexagonal axes)
One atom of each set of equivalent atoms:
1 Er 0.0000 0.0000 0.2426 x6
2 In 0.0000 0.0000 0.5000 x3
3 Hg 0.0000 0.0000 0.1096 x6
4 Hg 0.0000 0.0000 0.3676 x6



19.
DFT (GGA-PBE) results for an optimized crystal structure of ErIn4Hg7.

Summary:
**E_tot**: -1.552 eV/atom
**Mass density**: 10.9 g/cm3
**Size of the total moment**: 0.0 Bohr magnetons per cell

abc: 5.0960 5.0960 13.7033
angles: 90.00 90.00 120.00
Space group P-3m1 (No. 164)
One atom of each set of equivalent atoms:
1 Er 0.0000 0.0000 0.0000 x1
2 In 0.3333 0.6667 0.1494 x2
3 In 0.3333 0.6667 0.4074 x2
4 Hg 0.0000 0.0000 0.2374 x2
5 Hg 0.0000 0.0000 0.5000 x1
6 Hg 0.3333 0.6667 0.6602 x2
7 Hg 0.3333 0.6667 0.9135 x2



20.
DFT (GGA-PBE) results for an optimized crystal structure of Er4In2Hg.

Summary:
**E_tot**: -3.737 eV/atom
**Mass density**: 9.2 g/cm3
**Size of the total moment**: 0.0 Bohr magnetons per cell
**Distance to the lowest polymorph of the same formula**: 0 meV/atom

abc: 5.2033 5.2033 25.3901
angles: 90.00 90.00 120.00
Space group R-3m (No. 166, hexagonal axes)
One atom of each set of equivalent atoms:
1 Er 0.0000 0.0000 0.1216 x6
2 Er 0.0000 0.0000 0.3731 x6
3 In 0.0000 0.0000 0.2511 x6
4 Hg 0.0000 0.0000 0.5000 x3